DFT (PBE-GGA) results for La2Si4Ni3Ru after structural relaxation.

Calculated values
M_tot = 0.000 μB per atom
E_form (uncorrected) = -806 meV per atom

Cell lengths 4.0896, 4.0896, 9.8948 Å; angles 90.00, 90.00, 90.00 degrees
Last column: nearest neighbours and their distance in Å.
Space group P-4m2 (No. 115)
Unique sites:
La 0.0000 0.5000 0.2408  6 Ni 3.12-3.28, 8 Si 3.14-3.17, 2 Ru 3.28
Si 0.0000 0.0000 0.0000  4 Ni 2.37
Si 0.0000 0.5000 0.6281  3 Ni 2.41-2.48, 2 Ru 2.41
Si 0.5000 0.5000 0.0000  4 Ni 2.37
Ni 0.0000 0.5000 0.8785  5 Si 2.37-2.48
Ni 0.5000 0.5000 0.5000  4 Si 2.41
Ru 0.0000 0.0000 0.5000  4 Si 2.41